## Ag7SnAu3 (GGA-PBE)

Data for a relaxed structure of Ag7SnAu3.

a = 5.8251 Å, b = 5.8251 Å, c = 7.2776 Å
α = 90.00°, β = 90.00°, γ = 120.00°
Last column: nearest neighbours and their distance in Å.
Fractional coordinates of all 11 atoms:
Ag: 0.0000 0.0000 0.0000  9 Ag 2.91-2.97, 3 Au 2.92
Ag: 0.0039 0.5020 0.9945  8 Ag 2.88-2.98, 2 Au 2.90, 1 Sn 3.05
Ag: 0.1678 0.3355 0.3347  7 Ag 2.89-2.98, 2 Sn 2.91, 2 Au 2.97
Ag: 0.1678 0.8322 0.3347  7 Ag 2.89-2.98, 2 Sn 2.91, 2 Au 2.97
Ag: 0.4980 0.5020 0.9945  8 Ag 2.88-2.98, 2 Au 2.90, 1 Sn 3.05
Ag: 0.4980 0.9961 0.9945  8 Ag 2.88-2.98, 2 Au 2.90, 1 Sn 3.05
Ag: 0.6645 0.8322 0.3347  7 Ag 2.89-2.98, 2 Sn 2.91, 2 Au 2.97
Sn: 0.6667 0.3333 0.3427  9 Ag 2.91-3.05, 3 Au 2.93
Au: 0.3308 0.1654 0.6710  4 Au 2.89-2.93, 5 Ag 2.90-2.97, 1 Sn 2.93
Au: 0.8346 0.1654 0.6710  4 Au 2.89-2.93, 5 Ag 2.90-2.97, 1 Sn 2.93
Au: 0.8346 0.6692 0.6710  4 Au 2.89-2.93, 5 Ag 2.90-2.97, 1 Sn 2.93

## Properties
Size of the total moment in μB/cell: 0.0
Energy of formation from the pure elements in eV/atom: 0.025

## AgSn3Au4 (GGA-PBE)

Data for a relaxed structure of AgSn3Au4.

a = 8.8425 Å, b = 7.6366 Å, c = 5.3718 Å
α = 90.00°, β = 90.00°, γ = 90.00°
Last column: nearest neighbours and their distance in Å.
Fractional coordinates of all 16 atoms:
Ag: 0.0000 0.1032 0.0000  4 Au 2.81-2.93, 5 Sn 2.86-3.10
Ag: 0.5000 0.8968 0.5000  4 Au 2.81-2.93, 5 Sn 2.86-3.10
Sn: 0.0000 0.4986 0.8778  7 Au 2.74-3.06
Sn: 0.2086 0.8492 0.1851  4 Au 2.80-3.04, 2 Ag 2.86-3.10
Sn: 0.2914 0.1508 0.6851  4 Au 2.80-3.04, 2 Ag 2.86-3.10
Sn: 0.5000 0.5014 0.3778  7 Au 2.74-3.06
Sn: 0.7086 0.1508 0.6851  4 Au 2.80-3.04, 2 Ag 2.86-3.10
Sn: 0.7914 0.8492 0.1851  4 Au 2.80-3.04, 2 Ag 2.86-3.10
Au: 0.0000 0.2163 0.5014  3 Sn 2.80-2.96, 2 Ag 2.81-2.83, 3 Au 2.86-2.99
Au: 0.0000 0.5971 0.3684  4 Sn 2.74-2.84, 3 Au 2.90-2.99
Au: 0.2459 0.3226 0.1894  4 Sn 2.82-3.06, 2 Au 2.86-2.90, 1 Ag 2.93
Au: 0.2541 0.6774 0.6894  4 Sn 2.82-3.06, 2 Au 2.86-2.90, 1 Ag 2.93
Au: 0.5000 0.4029 0.8684  4 Sn 2.74-2.84, 3 Au 2.90-2.99
Au: 0.5000 0.7837 0.0014  3 Sn 2.80-2.96, 2 Ag 2.81-2.83, 3 Au 2.86-2.99
Au: 0.7459 0.6774 0.6894  4 Sn 2.82-3.06, 2 Au 2.86-2.90, 1 Ag 2.93
Au: 0.7541 0.3226 0.1894  4 Sn 2.82-3.06, 2 Au 2.86-2.90, 1 Ag 2.93

## Properties
Size of the total moment in μB/cell: 0.0
Energy of formation from the pure elements in eV/atom: -0.041

## Ag5Sn2Au (GGA-PBE)

Data for a relaxed structure of Ag5Sn2Au.

a = 6.0088 Å, b = 12.1166 Å, c = 4.2933 Å
α = 90.00°, β = 90.00°, γ = 90.00°
Last column: nearest neighbours and their distance in Å.
Fractional coordinates of all 16 atoms:
Ag: 0.0000 0.0000 0.0000  2 Au 3.00, 6 Ag 3.01-3.03, 4 Sn 3.04
Ag: 0.0099 0.2501 0.0000  7 Ag 3.00-3.03, 1 Au 3.03, 4 Sn 3.04-3.05
Ag: 0.2389 0.8723 0.5000  4 Sn 2.99-3.03, 6 Ag 3.01, 2 Au 3.08
Ag: 0.2611 0.3723 0.5000  4 Sn 2.99-3.03, 6 Ag 3.01, 2 Au 3.08
Ag: 0.4901 0.7501 0.0000  7 Ag 3.00-3.03, 1 Au 3.03, 4 Sn 3.04-3.05
Ag: 0.5000 0.5000 0.0000  2 Au 3.00, 6 Ag 3.01-3.03, 4 Sn 3.04
Ag: 0.5099 0.2499 0.0000  7 Ag 3.00-3.03, 1 Au 3.03, 4 Sn 3.04-3.05
Ag: 0.7389 0.6277 0.5000  4 Sn 2.99-3.03, 6 Ag 3.01, 2 Au 3.08
Ag: 0.7611 0.1277 0.5000  4 Sn 2.99-3.03, 6 Ag 3.01, 2 Au 3.08
Ag: 0.9901 0.7499 0.0000  7 Ag 3.00-3.03, 1 Au 3.03, 4 Sn 3.04-3.05
Sn: 0.2410 0.6219 0.5000  2 Au 2.98, 10 Ag 2.99-3.05
Sn: 0.2590 0.1219 0.5000  2 Au 2.98, 10 Ag 2.99-3.05
Sn: 0.7410 0.8781 0.5000  2 Au 2.98, 10 Ag 2.99-3.05
Sn: 0.7590 0.3781 0.5000  2 Au 2.98, 10 Ag 2.99-3.05
Au: 0.0000 0.5000 0.0000  4 Sn 2.98, 8 Ag 3.00-3.08
Au: 0.5000 0.0000 0.0000  4 Sn 2.98, 8 Ag 3.00-3.08

## Properties
Size of the total moment in μB/cell: 0.0
Energy of formation from the pure elements in eV/atom: -0.001

## AgSnAu3 (GGA-PBE)

Data for a relaxed structure of AgSnAu3.

a = 7.4876 Å, b = 7.4876 Å, c = 8.1292 Å
α = 98.40°, β = 98.40°, γ = 114.12°
Last column: nearest neighbours and their distance in Å.
Fractional coordinates of all 20 atoms:
Ag: 0.0426 0.7257 0.5660  7 Au 2.85-3.18, 2 Ag 3.08-3.16, 1 Sn 3.18
Ag: 0.2743 0.9574 0.9340  7 Au 2.85-3.18, 2 Ag 3.08-3.16, 1 Sn 3.18
Ag: 0.7257 0.0426 0.0660  7 Au 2.85-3.18, 2 Ag 3.08-3.16, 1 Sn 3.18
Ag: 0.9574 0.2743 0.4340  7 Au 2.85-3.18, 2 Ag 3.08-3.16, 1 Sn 3.18
Sn: 0.0667 0.9333 0.2500  6 Au 2.83-2.91
Sn: 0.4225 0.5775 0.7500  8 Au 2.80-3.12
Sn: 0.5775 0.4225 0.2500  8 Au 2.80-3.12
Sn: 0.9333 0.0667 0.7500  6 Au 2.83-2.91
Au: 0.0440 0.4850 0.8246  2 Sn 2.81-2.84, 4 Au 2.84-3.02, 1 Ag 2.96
Au: 0.1572 0.2689 0.0998  3 Sn 2.83-2.91, 4 Au 2.87-3.16, 2 Ag 2.92-3.02
Au: 0.2689 0.1572 0.5998  3 Sn 2.83-2.91, 4 Au 2.87-3.16, 2 Ag 2.92-3.02
Au: 0.3157 0.6005 0.4119  2 Sn 2.80-3.12, 5 Au 2.84-2.98, 2 Ag 2.85-2.93
Au: 0.3995 0.6843 0.0881  2 Sn 2.80-3.12, 5 Au 2.84-2.98, 2 Ag 2.85-2.93
Au: 0.4850 0.0440 0.3246  2 Sn 2.81-2.84, 4 Au 2.84-3.02, 1 Ag 2.96
Au: 0.5150 0.9560 0.6754  2 Sn 2.81-2.84, 4 Au 2.84-3.02, 1 Ag 2.96
Au: 0.6005 0.3157 0.9119  2 Sn 2.80-3.12, 5 Au 2.84-2.98, 2 Ag 2.85-2.93
Au: 0.6843 0.3995 0.5881  2 Sn 2.80-3.12, 5 Au 2.84-2.98, 2 Ag 2.85-2.93
Au: 0.7311 0.8428 0.4002  3 Sn 2.83-2.91, 4 Au 2.87-3.16, 2 Ag 2.92-3.02
Au: 0.8428 0.7311 0.9002  3 Sn 2.83-2.91, 4 Au 2.87-3.16, 2 Ag 2.92-3.02
Au: 0.9560 0.5150 0.1754  2 Sn 2.81-2.84, 4 Au 2.84-3.02, 1 Ag 2.96

## Properties
Size of the total moment in μB/cell: 0.0
Energy above the most stable polymorph in this dataset in eV per formula unit: 0.075
Energy of formation from the pure elements in eV/atom: -0.041

## Ag6SnAu (GGA-PBE)

Data for a relaxed structure of Ag6SnAu.

a = 4.2335 Å, b = 4.2335 Å, c = 8.3323 Å
α = 90.00°, β = 90.00°, γ = 90.00°
Last column: nearest neighbours and their distance in Å.
Fractional coordinates of all 8 atoms:
Ag: 0.0000 0.0000 0.0000  8 Ag 2.93, 4 Au 2.99
Ag: 0.0000 0.0000 0.5000  4 Sn 2.99, 8 Ag 3.01
Ag: 0.0000 0.5000 0.2429  2 Au 2.93, 8 Ag 2.93-3.01, 2 Sn 3.01
Ag: 0.0000 0.5000 0.7571  2 Au 2.93, 8 Ag 2.93-3.01, 2 Sn 3.01
Ag: 0.5000 0.0000 0.2429  2 Au 2.93, 8 Ag 2.93-3.01, 2 Sn 3.01
Ag: 0.5000 0.0000 0.7571  2 Au 2.93, 8 Ag 2.93-3.01, 2 Sn 3.01
Sn: 0.5000 0.5000 0.5000  12 Ag 2.99-3.01
Au: 0.5000 0.5000 0.0000  12 Ag 2.93-2.99

## Properties
Size of the total moment in μB/cell: 0.0
Energy above the most stable polymorph in this dataset in eV per formula unit: 0.043
Energy of formation from the pure elements in eV/atom: -0.001

## Ag2SnAu (GGA-PBE)

Data for a relaxed structure of Ag2SnAu.

a = 4.4238 Å, b = 4.4238 Å, c = 8.0015 Å
α = 90.00°, β = 90.00°, γ = 90.00°
Last column: nearest neighbours and their distance in Å.
Fractional coordinates of all 8 atoms:
Ag: 0.0000 0.0000 0.0000  4 Sn 2.98, 4 Ag 2.98, 4 Au 3.13
Ag: 0.0000 0.5000 0.2500  4 Ag 2.98, 4 Au 2.98, 4 Sn 3.13
Ag: 0.5000 0.0000 0.7500  4 Au 2.98, 4 Ag 2.98, 4 Sn 3.13
Ag: 0.5000 0.5000 0.5000  4 Sn 2.98, 4 Ag 2.98, 4 Au 3.13
Sn: 0.0000 0.5000 0.7500  4 Au 2.98, 8 Ag 2.98-3.13
Sn: 0.5000 0.0000 0.2500  4 Au 2.98, 8 Ag 2.98-3.13
Au: 0.0000 0.0000 0.5000  4 Sn 2.98, 8 Ag 2.98-3.13
Au: 0.5000 0.5000 0.0000  4 Sn 2.98, 8 Ag 2.98-3.13

## Properties
Size of the total moment in μB/cell: 0.0
Energy of formation from the pure elements in eV/atom: -0.038

## Ag2SnAu5 (GGA-PBE)

Data for a relaxed structure of Ag2SnAu5.

a = 5.7730 Å, b = 11.7648 Å, c = 4.4045 Å
α = 90.00°, β = 90.00°, γ = 90.00°
Last column: nearest neighbours and their distance in Å.
Fractional coordinates of all 16 atoms:
Ag: 0.2214 0.1307 0.0000  10 Au 2.85-2.99, 2 Sn 3.13
Ag: 0.2786 0.6307 0.0000  10 Au 2.85-2.99, 2 Sn 3.13
Ag: 0.7214 0.3693 0.0000  10 Au 2.85-2.99, 2 Sn 3.13
Ag: 0.7786 0.8693 0.0000  10 Au 2.85-2.99, 2 Sn 3.13
Sn: 0.0000 0.5000 0.5000  8 Au 2.89-2.94, 4 Ag 3.13
Sn: 0.5000 0.0000 0.5000  8 Au 2.89-2.94, 4 Ag 3.13
Au: 0.0000 0.0000 0.5000  2 Sn 2.89, 6 Au 2.95-3.07, 4 Ag 2.97
Au: 0.0284 0.7498 0.5000  7 Au 2.89-3.04, 1 Sn 2.94, 4 Ag 2.98
Au: 0.2274 0.3775 0.0000  4 Ag 2.85-2.99, 2 Sn 2.94, 6 Au 3.02-3.07
Au: 0.2726 0.8775 0.0000  4 Ag 2.85-2.99, 2 Sn 2.94, 6 Au 3.02-3.07
Au: 0.4716 0.2498 0.5000  7 Au 2.89-3.04, 1 Sn 2.94, 4 Ag 2.98
Au: 0.5000 0.5000 0.5000  2 Sn 2.89, 6 Au 2.95-3.07, 4 Ag 2.97
Au: 0.5284 0.7502 0.5000  7 Au 2.89-3.04, 1 Sn 2.94, 4 Ag 2.98
Au: 0.7274 0.1225 0.0000  4 Ag 2.85-2.99, 2 Sn 2.94, 6 Au 3.02-3.07
Au: 0.7726 0.6225 0.0000  4 Ag 2.85-2.99, 2 Sn 2.94, 6 Au 3.02-3.07
Au: 0.9716 0.2502 0.5000  7 Au 2.89-3.04, 1 Sn 2.94, 4 Ag 2.98

## Properties
Size of the total moment in μB/cell: 0.0
Energy above the most stable polymorph in this dataset in eV per formula unit: 0.000
Energy of formation from the pure elements in eV/atom: -0.051

## AgSn2Au6 (GGA-PBE)

Data for a relaxed structure of AgSn2Au6.

a = 6.1964 Å, b = 6.1964 Å, c = 5.1184 Å
α = 101.12°, β = 101.12°, γ = 76.61°
Last column: nearest neighbours and their distance in Å.
Fractional coordinates of all 9 atoms:
Ag: 0.0000 0.0000 0.0000  8 Au 2.82-3.04, 2 Sn 2.98
Sn: 0.3160 0.3160 0.1562  8 Au 2.91-3.10, 1 Ag 2.98
Sn: 0.6840 0.6840 0.8438  8 Au 2.91-3.10, 1 Ag 2.98
Au: 0.1510 0.1510 0.5948  2 Ag 2.82-3.04, 5 Au 2.83-2.89, 2 Sn 2.93-3.06
Au: 0.2272 0.6056 0.7061  5 Au 2.83-3.05, 1 Ag 2.83, 3 Sn 2.91-3.10
Au: 0.3944 0.7728 0.2939  5 Au 2.83-3.05, 1 Ag 2.83, 3 Sn 2.91-3.10
Au: 0.6056 0.2272 0.7061  5 Au 2.83-3.05, 1 Ag 2.83, 3 Sn 2.91-3.10
Au: 0.7728 0.3944 0.2939  5 Au 2.83-3.05, 1 Ag 2.83, 3 Sn 2.91-3.10
Au: 0.8490 0.8490 0.4052  2 Ag 2.82-3.04, 5 Au 2.83-2.89, 2 Sn 2.93-3.06

## Properties
Size of the total moment in μB/cell: 0.0
Energy above the most stable polymorph in this dataset in eV per formula unit: 0.000
Energy of formation from the pure elements in eV/atom: -0.005

## Ag6SnAu3 (GGA-PBE)

Data for a relaxed structure of Ag6SnAu3.

a = 9.3579 Å, b = 9.3579 Å, c = 5.6862 Å
α = 90.00°, β = 90.00°, γ = 129.56°
Last column: nearest neighbours and their distance in Å.
Fractional coordinates of all 20 atoms:
Ag: 0.0160 0.9840 0.5000  4 Au 2.87-2.92, 6 Ag 2.89-2.99, 1 Sn 2.90
Ag: 0.0892 0.5285 0.9429  3 Au 2.83-2.87, 6 Ag 2.88-3.17, 2 Sn 2.89-3.01
Ag: 0.2601 0.3565 0.7304  4 Au 2.79-3.04, 4 Ag 2.95-3.06
Ag: 0.3149 0.6851 0.5253  3 Au 2.81-3.03, 6 Ag 2.88-3.01, 1 Sn 3.06
Ag: 0.3565 0.2601 0.2304  4 Au 2.79-3.04, 4 Ag 2.95-3.06
Ag: 0.4715 0.9108 0.9429  3 Au 2.83-2.87, 6 Ag 2.88-3.17, 2 Sn 2.89-3.01
Ag: 0.5285 0.0892 0.4429  3 Au 2.83-2.87, 6 Ag 2.88-3.17, 2 Sn 2.89-3.01
Ag: 0.6435 0.7399 0.7304  4 Au 2.79-3.04, 4 Ag 2.95-3.06
Ag: 0.6851 0.3149 0.0253  3 Au 2.81-3.03, 6 Ag 2.88-3.01, 1 Sn 3.06
Ag: 0.7399 0.6435 0.2304  4 Au 2.79-3.04, 4 Ag 2.95-3.06
Ag: 0.9108 0.4715 0.4429  3 Au 2.83-2.87, 6 Ag 2.88-3.17, 2 Sn 2.89-3.01
Ag: 0.9840 0.0160 0.0000  4 Au 2.87-2.92, 6 Ag 2.89-2.99, 1 Sn 2.90
Sn: 0.1628 0.8372 0.2365  8 Ag 2.89-3.13, 2 Au 2.93
Sn: 0.8372 0.1628 0.7365  8 Ag 2.89-3.13, 2 Au 2.93
Au: 0.0625 0.3010 0.3084  2 Au 2.80-2.90, 7 Ag 2.83-3.04, 1 Sn 2.93
Au: 0.3010 0.0625 0.8084  2 Au 2.80-2.90, 7 Ag 2.83-3.04, 1 Sn 2.93
Au: 0.4109 0.5891 0.1215  7 Ag 2.79-2.87, 2 Au 2.80
Au: 0.5891 0.4109 0.6215  7 Ag 2.79-2.87, 2 Au 2.80
Au: 0.6990 0.9375 0.3084  2 Au 2.80-2.90, 7 Ag 2.83-3.04, 1 Sn 2.93
Au: 0.9375 0.6990 0.8084  2 Au 2.80-2.90, 7 Ag 2.83-3.04, 1 Sn 2.93

## Properties
Size of the total moment in μB/cell: 0.0
Energy above the most stable polymorph in this dataset in eV per formula unit: 0.343
Energy of formation from the pure elements in eV/atom: 0.017

## Ag3SnAu (GGA-PBE)

Data for a relaxed structure of Ag3SnAu.

a = 8.5683 Å, b = 2.8979 Å, c = 9.1097 Å
α = 90.00°, β = 90.10°, γ = 90.00°
Last column: nearest neighbours and their distance in Å.
Fractional coordinates of all 10 atoms:
Ag: 0.1623 0.2500 0.2492  1 Sn 2.79, 1 Au 2.86, 6 Ag 2.90-2.94
Ag: 0.3331 0.7500 0.4806  3 Au 2.85-2.91, 1 Sn 2.85, 4 Ag 2.90-2.94
Ag: 0.3338 0.7500 0.0190  3 Au 2.85-2.91, 1 Sn 2.85, 4 Ag 2.90-2.94
Ag: 0.6662 0.2500 0.9810  3 Au 2.85-2.91, 1 Sn 2.85, 4 Ag 2.90-2.94
Ag: 0.6669 0.2500 0.5194  3 Au 2.85-2.91, 1 Sn 2.85, 4 Ag 2.90-2.94
Ag: 0.8377 0.7500 0.7508  1 Sn 2.79, 1 Au 2.86, 6 Ag 2.90-2.94
Sn: 0.1631 0.7500 0.7498  3 Ag 2.79-2.85, 2 Sn 2.90, 1 Au 2.92
Sn: 0.8369 0.2500 0.2502  3 Ag 2.79-2.85, 2 Sn 2.90, 1 Au 2.92
Au: 0.4967 0.2500 0.2503  7 Ag 2.85-2.91, 2 Au 2.90, 1 Sn 2.92
Au: 0.5033 0.7500 0.7497  7 Ag 2.85-2.91, 2 Au 2.90, 1 Sn 2.92

## Properties
Size of the total moment in μB/cell: 0.0
Energy above the most stable polymorph in this dataset in eV per formula unit: 0.533
Energy of formation from the pure elements in eV/atom: 0.136